A geometry-optimized FePBrO2 structure, computed with PBE with a Hubbard U.

Cell: 3.790 3.790 5.386 Å, 90.00 90.00 90.00°
Site moments in Bohr magnetons follow the coordinates.
Fractional coordinates of all 5 atoms:
1 O 0.000 0.500 0.000  -0.01
2 O 0.500 0.000 0.000  -0.01
3 Fe 0.500 0.500 0.500  3.66
4 Br 0.000 0.000 0.000  -0.06
5 P 0.000 0.000 0.500  -0.12

Calculated values
- E above lowest polymorph: 945.7 meV per atom
- E_tot: -3.64 eV/atom
- Space-group type: P4/mmm
- Calculated volume: 15.48 Å³ per atom
- Fermi-level density of states: 1.0705 states/eV/atom